P) NaCaH3 after structural relaxation. Source: the Alexandria database, functional PBE-GGA.

Results
Size of the total moment in μB per atom: 0.000
ρ in g cm⁻³: 1.3

Lattice parameters (Å, degrees): 6.0964 6.0964 7.7481 90.00 90.00 120.00
Space group R3m (No. 160, hexagonal axes)
Symmetry-distinct sites (fractional):
Na1 0.0000 0.0000 0.0000 x3
Ca1 0.0000 0.0000 0.4205 x3
H1 0.0291 0.5145 0.8894 x9

Q) NaCaH3 after structural relaxation. Source: the Alexandria database, functional PBE-GGA.

Results
Size of the total moment in μB per atom: 0.000
ρ in g cm⁻³: 1.5

Lattice parameters (Å, degrees): 3.615 6.765 6.824 117.20 99.80 95.30
Space group P-1 (No. 2)
Symmetry-distinct sites (fractional):
Na1 0.011 0.270 0.236 x2
Ca1 0.370 0.249 0.710 x2
H1 0.162 0.654 0.429 x2
H2 0.178 0.983 0.314 x2
H3 0.482 0.349 0.082 x2

R) NaCaH3 after structural relaxation. Source: the Alexandria database, functional PBE-GGA.

Results
Size of the total moment in μB per atom: 0.000
ρ in g cm⁻³: 1.5

Lattice parameters (Å, degrees): 5.8193 5.8193 15.1161 90.00 90.00 120.00
Space group R3c (No. 161, hexagonal axes)
Symmetry-distinct sites (fractional):
Na1 0.0000 0.0000 0.0000 x6
Ca1 0.0000 0.0000 0.2802 x6
H1 0.0122 0.2940 0.3837 x18

In meV/atom, relative to the most stable structure: P) 77; Q) 0; R) 6.

P) NaCaH3 after structural relaxation. Source: the Alexandria database, functional PBE-GGA.

Results
Size of the total moment in μB per atom: 0.000
ρ in g cm⁻³: 1.8

Lattice parameters (Å, degrees): 3.972 3.972 3.972 90.00 90.00 90.00
Space group Pm-3m (No. 221)
Symmetry-distinct sites (fractional):
Na1 0.000 0.000 0.000 x1
Ca1 0.500 0.500 0.500 x1
H1 0.000 0.000 0.500 x3

Q) NaCaH3 after structural relaxation. Source: the Alexandria database, functional PBE-GGA.

Results
Size of the total moment in μB per atom: 0.000
ρ in g cm⁻³: 1.6

Lattice parameters (Å, degrees): 4.949 4.245 6.667 90.00 90.00 90.00
Space group Pmma (No. 51)
Symmetry-distinct sites (fractional):
Na1 0.250 0.000 0.138 x2
Ca1 0.250 0.500 0.719 x2
H1 0.000 0.500 0.000 x2
H2 0.250 0.000 0.785 x2
H3 0.250 0.500 0.375 x2

In meV/atom, relative to the most stable structure: P) 167; Q) 0.

P) NaCa2H2 after structural relaxation. Source: the Alexandria database, functional PBE-GGA.

Results
Size of the total moment in μB per atom: 0.000
ρ in g cm⁻³: 1.5

Lattice parameters (Å, degrees): 3.629 3.629 8.901 90.00 90.00 90.00
Space group P4/mmm (No. 123)
Symmetry-distinct sites (fractional):
Na1 0.000 0.000 0.000 x1
Ca1 0.500 0.500 0.330 x2
H1 0.000 0.500 0.500 x2

Q) NaCa2H2 after structural relaxation. Source: the Alexandria database, functional PBE-GGA.

Results
Size of the total moment in μB per atom: 0.000
ρ in g cm⁻³: 1.5

Lattice parameters (Å, degrees): 3.954 3.954 14.457 90.00 90.00 90.00
Space group I4/mmm (No. 139)
Symmetry-distinct sites (fractional):
Na1 0.000 0.000 0.000 x2
Ca1 0.000 0.000 0.331 x4
H1 0.000 0.500 0.250 x4

R) NaCa2H2 after structural relaxation. Source: the Alexandria database, functional PBE-GGA.

Results
Size of the total moment in μB per atom: 0.000
ρ in g cm⁻³: 1.8

Lattice parameters (Å, degrees): 7.251 7.251 3.737 90.00 90.00 90.00
Space group P4/mbm (No. 127)
Symmetry-distinct sites (fractional):
Na1 0.000 0.000 0.000 x2
Ca1 0.169 0.331 0.500 x4
H1 0.145 0.645 0.000 x4

In meV/atom, relative to the most stable structure: P) 157; Q) 0; R) 363.

P) NaCa2HPd after structural relaxation. Source: the Alexandria database, functional PBE-GGA.

Results
Size of the total moment in μB per atom: 0.000
ρ in g cm⁻³: 3.4

Lattice parameters (Å, degrees): 4.943 4.943 4.250 90.00 90.00 90.00
Space group P4/mmm (No. 123)
Symmetry-distinct sites (fractional):
Na1 0.000 0.000 0.000 x1
Ca1 0.000 0.500 0.500 x2
H1 0.000 0.000 0.500 x1
Pd1 0.500 0.500 0.000 x1

Q) NaCa2HPd after structural relaxation. Source: the Alexandria database, functional PBE-GGA.

Results
Size of the total moment in μB per atom: 0.000
ρ in g cm⁻³: 3.3

Lattice parameters (Å, degrees): 5.135 5.135 4.063 90.00 90.00 90.00
Space group P4/mmm (No. 123)
Symmetry-distinct sites (fractional):
Na1 0.000 0.000 0.000 x1
Ca1 0.000 0.500 0.500 x2
H1 0.500 0.500 0.500 x1
Pd1 0.500 0.500 0.000 x1

In meV/atom, relative to the most stable structure: P) 0; Q) 60.

P) CaNdH after structural relaxation. Source: the Alexandria database, functional PBE-GGA.

Results
Size of the total moment in μB per atom: 0.000
ρ in g cm⁻³: 3.8

Lattice parameters (Å, degrees): 6.836 6.858 6.906 95.92 92.12 92.42
Space group P1 (No. 1)
Symmetry-distinct sites (fractional):
Ca1 0.000 0.000 0.000 x1
Ca2 0.043 0.501 0.755 x1
Ca3 0.309 0.453 0.230 x1
Ca4 0.524 0.220 0.737 x1
Nd1 0.038 0.969 0.489 x1
Nd2 0.519 0.957 0.222 x1
Nd3 0.559 0.724 0.664 x1
Nd4 0.811 0.466 0.261 x1
H1 0.387 0.962 0.526 x1
H2 0.557 0.661 0.335 x1
H3 0.832 0.118 0.269 x1
H4 0.868 0.677 0.546 x1

Q) CaNdH after structural relaxation. Source: the Alexandria database, functional PBE-GGA.

Results
Size of the total moment in μB per atom: 0.000
ρ in g cm⁻³: 4.0

Lattice parameters (Å, degrees): 3.477 3.477 12.801 90.00 90.00 90.00
Space group I4mm (No. 107)
Symmetry-distinct sites (fractional):
Ca1 0.000 0.000 0.000 x2
Nd1 0.000 0.000 0.719 x2
H1 0.000 0.000 0.191 x2

R) CaNdH after structural relaxation. Source: the Alexandria database, functional PBE-GGA.

Results
Size of the total moment in μB per atom: 0.000
ρ in g cm⁻³: 4.2

Lattice parameters (Å, degrees): 3.6867 3.6867 6.1594 90.00 90.00 120.00
Space group P3m1 (No. 156)
Symmetry-distinct sites (fractional):
Ca1 0.0000 0.0000 0.0000 x1
Nd1 0.6667 0.3333 0.5203 x1
H1 0.3333 0.6667 0.7479 x1

In meV/atom, relative to the most stable structure: P) 0; Q) 100; R) 5.

P) CaNdH2 after structural relaxation. Source: the Alexandria database, functional PBE-GGA.

Results
Size of the total moment in μB per atom: 0.004
ρ in g cm⁻³: 4.6

Lattice parameters (Å, degrees): 3.6062 3.6062 17.7438 90.00 90.00 120.00
Space group R-3m (No. 166, hexagonal axes)
Symmetry-distinct sites (fractional):
Ca1 0.0000 0.0000 0.0000 x3
Nd1 0.0000 0.0000 0.5000 x3
H1 0.0000 0.0000 0.2493 x6

Q) CaNdH2 after structural relaxation. Source: the Alexandria database, functional PBE-GGA.

Results
Size of the total moment in μB per atom: 0.153
ρ in g cm⁻³: 4.4

Lattice parameters (Å, degrees): 3.6213 3.6213 18.3997 90.00 90.00 120.00
Space group R3m (No. 160, hexagonal axes)
Symmetry-distinct sites (fractional):
Ca1 0.0000 0.0000 0.0000 x3
Nd1 0.0000 0.0000 0.8215 x3
H1 0.0000 0.0000 0.2311 x3
H2 0.0000 0.0000 0.4135 x3

In meV/atom, relative to the most stable structure: P) 0; Q) 42.